# 1
This record from OQMD describes a relaxed AcNbGe crystal. The functional is PBE-GGA.

Calculated values
- ρ: 6.688 g/cm³
- V: 32.5 Å³/atom
- Offset from the most stable computed form: 554.4 meV/atom
- Size of the total moment: 15.82 Bohr magnetons per cell

```
data_AcNbGe
_chemical_formula_sum 'Ac4 Nb4 Ge4'
_cell_length_a 7.305
_cell_length_b 7.305
_cell_length_c 7.305
_cell_angle_alpha 90.00
_cell_angle_beta 90.00
_cell_angle_gamma 90.00
_space_group_name_H-M_alt 'F -4 3 m'
_space_group_IT_number 216
_space_group_name_Hall 'F -4 2 3'
loop_
_atom_site_label
_atom_site_fract_x
_atom_site_fract_y
_atom_site_fract_z
_atom_site_occupancy
Ac1 0.000 0.000 0.000 1
Nb1 0.250 0.250 0.250 1
Ge1 0.250 0.250 0.750 1
```

# 2
This record from OQMD describes a relaxed AcNdGe crystal. The functional is PBE-GGA.

Calculated values
- Energy: -4.2068 eV per atom
- ρ: 7.396 g/cm³
- V: 33.2 Å³/atom
- Size of the total moment: 5.46 Bohr magnetons per cell

```
data_AcNdGe
_chemical_formula_sum 'Ac4 Nd4 Ge4'
_cell_length_a 7.360
_cell_length_b 7.360
_cell_length_c 7.360
_cell_angle_alpha 90.00
_cell_angle_beta 90.00
_cell_angle_gamma 90.00
_space_group_name_H-M_alt 'F -4 3 m'
_space_group_IT_number 216
_space_group_name_Hall 'F -4 2 3'
loop_
_atom_site_label
_atom_site_fract_x
_atom_site_fract_y
_atom_site_fract_z
_atom_site_occupancy
Ac1 0.000 0.000 0.000 1
Nd1 0.250 0.250 0.250 1
Ge1 0.000 0.000 0.500 1
```

# 3
This record from OQMD describes a relaxed Ac2Ni3Ge5 crystal. The functional is PBE-GGA.

Calculated values
- Energy: -5.4196 eV per atom
- ρ: 8.673 g/cm³
- V: 19.0 Å³/atom
- Size of the total moment: 0.00 Bohr magnetons per cell

```
data_Ac2Ni3Ge5
_chemical_formula_sum 'Ac8 Ni12 Ge20'
_cell_length_a 13.773
_cell_length_b 10.017
_cell_length_c 6.162
_cell_angle_alpha 90.00
_cell_angle_beta 116.51
_cell_angle_gamma 90.00
_space_group_name_H-M_alt 'C 1 2/c 1'
_space_group_IT_number 15
loop_
_space_group_symop_operation_xyz
'x,y,z'
'-x,-y,-z'
'-x,y,-z+1/2'
'x,-y,z+1/2'
'x+1/2,y+1/2,z'
'-x+1/2,-y+1/2,-z'
'-x+1/2,y+1/2,-z+1/2'
'x+1/2,-y+1/2,z+1/2'
loop_
_atom_site_label
_atom_site_fract_x
_atom_site_fract_y
_atom_site_fract_z
_atom_site_occupancy
Ac1 0.129 0.247 0.128 1
Ni1 0.000 0.500 0.250 1
Ni2 0.129 0.115 0.629 1
Ge1 0.000 0.001 0.250 1
Ge2 0.108 0.360 0.608 1
Ge3 0.250 0.000 0.000 1
```

# 4
This record from OQMD describes a relaxed AcNiGe3 crystal. The functional is PBE-GGA.

Calculated values
- Energy: -5.2986 eV per atom
- ρ: 8.300 g/cm³
- V: 20.2 Å³/atom
- Size of the total moment: 0.01 Bohr magnetons per cell

```
data_AcNiGe3
_chemical_formula_sum 'Ac2 Ni2 Ge6'
_cell_length_a 4.525
_cell_length_b 4.525
_cell_length_c 9.843
_cell_angle_alpha 90.00
_cell_angle_beta 90.00
_cell_angle_gamma 90.00
_space_group_name_H-M_alt 'I 4 m m'
_space_group_IT_number 107
_space_group_name_Hall 'I 4 -2'
loop_
_atom_site_label
_atom_site_fract_x
_atom_site_fract_y
_atom_site_fract_z
_atom_site_occupancy
Ac1 0.000 0.000 0.000 1
Ni1 0.000 0.000 0.656 1
Ge1 0.000 0.000 0.411 1
Ge2 0.000 0.500 0.254 1
```

# 5
This record from OQMD describes a relaxed Ac3Ni4Ge4 crystal. The functional is PBE-GGA.

Calculated values
- Energy: -5.4701 eV per atom
- ρ: 8.679 g/cm³
- V: 21.0 Å³/atom
- Size of the total moment: 0.01 Bohr magnetons per cell

```
data_Ac3Ni4Ge4
_chemical_formula_sum 'Ac6 Ni8 Ge8'
_cell_length_a 24.926
_cell_length_b 4.377
_cell_length_c 4.294
_cell_angle_alpha 90.00
_cell_angle_beta 99.87
_cell_angle_gamma 90.00
_space_group_name_H-M_alt 'C 1 2/m 1'
_space_group_IT_number 12
loop_
_space_group_symop_operation_xyz
'x,y,z'
'-x,-y,-z'
'-x,y,-z'
'x,-y,z'
'x+1/2,y+1/2,z'
'-x+1/2,-y+1/2,-z'
'-x+1/2,y+1/2,-z'
'x+1/2,-y+1/2,z'
loop_
_atom_site_label
_atom_site_fract_x
_atom_site_fract_y
_atom_site_fract_z
_atom_site_occupancy
Ac1 0.000 0.000 0.000 1
Ac2 0.151 0.000 0.652 1
Ni1 0.100 0.500 0.100 1
Ni2 0.249 0.000 0.249 1
Ge1 0.054 0.500 0.554 1
Ge2 0.202 0.500 0.202 1
```

# 6
This record from OQMD describes a relaxed AcGeOs crystal. The functional is PBE-GGA.

Calculated values
- ρ: 10.848 g/cm³
- V: 25.0 Å³/atom
- Offset from the most stable computed form: 0.0 meV/atom
- Size of the total moment: 0.02 Bohr magnetons per cell

```
data_AcGeOs
_chemical_formula_sum 'Ac4 Ge4 Os4'
_cell_length_a 6.694
_cell_length_b 6.694
_cell_length_c 6.694
_cell_angle_alpha 90.00
_cell_angle_beta 90.00
_cell_angle_gamma 90.00
_space_group_name_H-M_alt 'F -4 3 m'
_space_group_IT_number 216
_space_group_name_Hall 'F -4 2 3'
loop_
_atom_site_label
_atom_site_fract_x
_atom_site_fract_y
_atom_site_fract_z
_atom_site_occupancy
Ac1 0.000 0.000 0.000 1
Ge1 0.000 0.000 0.500 1
Os1 0.250 0.250 0.250 1
```

# 7
This record from OQMD describes a relaxed Ac3Ge3Pd2 crystal. The functional is PBE-GGA.

Calculated values
- Energy: -5.4349 eV per atom
- ρ: 8.740 g/cm³
- V: 26.4 Å³/atom
- Size of the total moment: 0.04 Bohr magnetons per cell

```
data_Ac3Ge3Pd2
_chemical_formula_sum 'Ac12 Ge12 Pd8'
_cell_length_a 4.488
_cell_length_b 11.541
_cell_length_c 16.312
_cell_angle_alpha 90.00
_cell_angle_beta 90.00
_cell_angle_gamma 90.00
_space_group_name_H-M_alt 'C m c m'
_space_group_IT_number 63
_space_group_name_Hall '-C 2c 2'
loop_
_atom_site_label
_atom_site_fract_x
_atom_site_fract_y
_atom_site_fract_z
_atom_site_occupancy
Ac1 0.000 0.081 0.250 1
Ac2 0.000 0.359 0.093 1
Ge1 0.000 0.082 0.051 1
Ge2 0.000 0.207 0.750 1
Pd1 0.000 0.351 0.620 1
```

# 8
This record from OQMD describes a relaxed Ac2Ge2Pd crystal. The functional is PBE-GGA.

Calculated values
- Energy: -5.3610 eV per atom
- ρ: 8.623 g/cm³
- V: 27.2 Å³/atom
- Size of the total moment: 0.01 Bohr magnetons per cell

```
data_Ac2Ge2Pd
_chemical_formula_sum 'Ac8 Ge8 Pd4'
_cell_length_a 11.526
_cell_length_b 4.545
_cell_length_c 11.667
_cell_angle_alpha 90.00
_cell_angle_beta 117.19
_cell_angle_gamma 90.00
_space_group_name_H-M_alt 'C 1 2/m 1'
_space_group_IT_number 12
loop_
_space_group_symop_operation_xyz
'x,y,z'
'-x,-y,-z'
'-x,y,-z'
'x,-y,z'
'x+1/2,y+1/2,z'
'-x+1/2,-y+1/2,-z'
'-x+1/2,y+1/2,-z'
'x+1/2,-y+1/2,z'
loop_
_atom_site_label
_atom_site_fract_x
_atom_site_fract_y
_atom_site_fract_z
_atom_site_occupancy
Ac1 0.094 0.000 0.394 1
Ac2 0.207 0.500 0.142 1
Ge1 0.032 0.000 0.909 1
Ge2 0.118 0.500 0.611 1
Pd1 0.064 0.500 0.814 1
```

# 9
This record from OQMD describes a relaxed AcGe2Pt2 crystal. The functional is PBE-GGA.

Calculated values
- ρ: 12.060 g/cm³
- V: 21.0 Å³/atom
- Offset from the most stable computed form: 43.3 meV/atom
- Size of the total moment: 0.00 Bohr magnetons per cell

```
data_AcGe2Pt2
_chemical_formula_sum 'Ac2 Ge4 Pt4'
_cell_length_a 4.516
_cell_length_b 4.516
_cell_length_c 10.294
_cell_angle_alpha 90.00
_cell_angle_beta 90.00
_cell_angle_gamma 90.00
_space_group_name_H-M_alt 'I 4/m m m'
_space_group_IT_number 139
_space_group_name_Hall '-I 4 2'
loop_
_atom_site_label
_atom_site_fract_x
_atom_site_fract_y
_atom_site_fract_z
_atom_site_occupancy
Ac1 0.000 0.000 0.000 1
Ge1 0.000 0.500 0.250 1
Pt1 0.000 0.000 0.365 1
```

# 10
This record from OQMD describes a relaxed Ac2GePt3 crystal. The functional is PBE-GGA.

Calculated values
- Energy: -6.2169 eV per atom
- ρ: 12.519 g/cm³
- V: 24.6 Å³/atom
- Size of the total moment: 0.00 Bohr magnetons per cell

```
data_Ac2GePt3
_chemical_formula_sum 'Ac2 Ge1 Pt3'
_cell_length_a 4.152
_cell_length_b 4.452
_cell_length_c 7.979
_cell_angle_alpha 90.00
_cell_angle_beta 90.00
_cell_angle_gamma 90.00
_space_group_name_H-M_alt 'P m m 2'
_space_group_IT_number 25
loop_
_space_group_symop_operation_xyz
'x,y,z'
'-x,-y,z'
'-x,y,z'
'x,-y,z'
loop_
_atom_site_label
_atom_site_fract_x
_atom_site_fract_y
_atom_site_fract_z
_atom_site_occupancy
Ac1 0.000 0.000 0.000 1
Ac2 0.000 0.500 0.476 1
Ge1 0.500 0.500 0.810 1
Pt1 0.500 0.000 0.329 1
Pt2 0.500 0.000 0.670 1
Pt3 0.500 0.500 0.124 1
```

# 11
This record from OQMD describes a relaxed Ac2Ge3Pt crystal. The functional is PBE-GGA.

Calculated values
- Energy: -5.5667 eV per atom
- ρ: 9.438 g/cm³
- V: 25.4 Å³/atom
- Size of the total moment: 0.02 Bohr magnetons per cell

```
data_Ac2Ge3Pt
_chemical_formula_sum 'Ac2 Ge3 Pt1'
_cell_length_a 4.480
_cell_length_b 4.528
_cell_length_c 7.520
_cell_angle_alpha 90.00
_cell_angle_beta 90.00
_cell_angle_gamma 90.00
_space_group_name_H-M_alt 'P m m 2'
_space_group_IT_number 25
loop_
_space_group_symop_operation_xyz
'x,y,z'
'-x,-y,z'
'-x,y,z'
'x,-y,z'
loop_
_atom_site_label
_atom_site_fract_x
_atom_site_fract_y
_atom_site_fract_z
_atom_site_occupancy
Ac1 0.000 0.000 0.000 1
Ac2 0.000 0.500 0.493 1
Ge1 0.500 0.000 0.657 1
Ge2 0.500 0.500 0.170 1
Ge3 0.500 0.500 0.828 1
Pt1 0.500 0.000 0.322 1
```

# 12
This record from OQMD describes a relaxed Ac2Ge5Pt3 crystal. The functional is PBE-GGA.

Calculated values
- Energy: -5.7942 eV per atom
- ρ: 11.163 g/cm³
- V: 20.9 Å³/atom
- Size of the total moment: 0.00 Bohr magnetons per cell

```
data_Ac2Ge5Pt3
_chemical_formula_sum 'Ac8 Ge20 Pt12'
_cell_length_a 10.387
_cell_length_b 12.467
_cell_length_c 6.444
_cell_angle_alpha 90.00
_cell_angle_beta 90.00
_cell_angle_gamma 90.00
_space_group_name_H-M_alt 'I b a m'
_space_group_IT_number 72
_space_group_name_Hall '-I 2 2c'
loop_
_atom_site_label
_atom_site_fract_x
_atom_site_fract_y
_atom_site_fract_z
_atom_site_occupancy
Ac1 0.238 0.128 0.000 1
Ge1 0.000 0.000 0.250 1
Ge2 0.000 0.262 0.250 1
Ge3 0.143 0.389 0.000 1
Pt1 0.000 0.500 0.250 1
Pt2 0.115 0.134 0.500 1
```

Number 8 is which compound? Ac2Ge2Pd